Entry w
BaNaAl3 after structural relaxation. Source: the Alexandria database, functional PBE.

Lattice parameters (Å, degrees): 6.1142 6.1142 6.1142 90.00 90.00 90.00
Positions (direct):
Na 0.5000 0.5000 0.5000
Al 0.0000 0.5000 0.0000
Ba 0.0000 0.0000 0.0000
Al 0.0000 0.0000 0.5000
Al 0.5000 0.0000 0.0000

Values from the calculation:
Symmetry = No. 221
Total moment = 0.020 μB/cell

Entry x
BaNaAl3 after structural relaxation. Source: the Alexandria database, functional PBE.

Lattice parameters (Å, degrees): 5.3255 5.3255 5.3255 90.00 90.00 90.00
Positions (direct):
Ba 0.5000 0.5000 0.5000
Na 0.0000 0.0000 0.0000
Al 0.0000 0.5000 0.0000
Al 0.5000 0.0000 0.0000
Al 0.0000 0.0000 0.5000

Values from the calculation:
Symmetry = No. 221
Total moment = 0.000 μB/cell

Verdict on stability: entry w comes out at the bottom.